## Pr3ErFe (PBE)

Data for a relaxed Pr3ErFe crystal.

a b c (Å): 5.4151 5.4151 5.4151
angles (deg): 90.00 90.00 90.00
Last column: nearest neighbours and their distance in Å.
Fractional coordinates of all 5 atoms:
Pr1 0.0000 0.0000 0.5000  2 Fe 2.71
Fe1 0.0000 0.0000 0.0000  6 Pr 2.71
Er1 0.5000 0.5000 0.5000  12 Pr 3.83
Pr2 0.0000 0.5000 0.0000  2 Fe 2.71
Pr3 0.5000 0.0000 0.0000  2 Fe 2.71

Properties
density of states at the Fermi level = 1.65 states/eV/atom
E_form = 0.233 eV per atom
SG = Pm-3m